No. 1
SrLiU2O6 | PBE | relaxed

```
SrLiU2O6
1.0
-1.948 2.831 5.776
1.948 -2.831 5.776
1.948 2.831 -5.776
Sr Li U O
1 1 2 6
Direct
0.000 0.000 0.000 Sr
0.500 0.000 0.500 Li
0.325 0.325 0.000 U
0.675 0.675 0.000 U
0.096 0.826 0.270 O
0.288 0.500 0.788 O
0.445 0.174 0.270 O
0.555 0.826 0.730 O
0.712 0.500 0.212 O
0.904 0.174 0.730 O
```

Results
SG ... No. 71
Total magnetization ... 3.000 μB per cell
Final energy ... -8.450 eV/atom
Formation energy (no corrections) ... -2.858 eV per atom
Polymorph energy (0 for the lowest one) ... 0 meV per atom



No. 2
MgTaMn | PBE | relaxed

```
MgTaMn
1.0
-1.415 1.415 6.553
1.415 -1.415 6.553
1.415 1.415 -6.553
Mg Ta Mn
1 1 1
Direct
0.000 0.000 0.000 Mg
0.315 0.315 0.000 Ta
0.666 0.666 0.000 Mn
```

Results
DFT formation energy ... 274.6 meV per atom
SG ... No. 107
Total magnetization ... 3.468 μB per cell
Final energy ... -7.264 eV/atom
Polymorph energy (0 for the lowest one) ... 100 meV per atom